[1]
TmSc2S4: relaxed, PBE.

Output
**Magnetization**: 0.0 μB/cell
**VASP energy**: -6.665 eV per atom
**N(E_F)**: 17.91 states/eV/cell

a b c (Å): 7.7123 7.7123 10.9122
angles (deg): 90.00 90.00 90.00
Closest atoms and distances in Å follow each position.
Space group P4_122 (No. 91)
Symmetry-distinct sites (fractional):
Tm: 0.0000 0.2593 0.0000 (multiplicity 4)  6 S 2.69-2.71
Sc: 0.2484 0.2484 0.3750 (multiplicity 4)  4 S 2.47-2.49
Sc: 0.2595 0.5000 0.7500 (multiplicity 4)  6 S 2.61-2.64
S: 0.0190 0.2564 0.7521 (multiplicity 8)  2 Sc 2.49-2.64, 2 Tm 2.71
S: 0.2569 0.4950 0.9898 (multiplicity 8)  3 Sc 2.47-2.62, 1 Tm 2.69

[2]
MgI2NO: relaxed, PBE.

Output
**Magnetization**: 1.6 μB/cell
**VASP energy**: -2.588 eV per atom
**N(E_F)**: 3.75 states/eV/cell

a b c (Å): 5.0581 5.0581 4.0682
angles (deg): 90.00 90.00 90.00
Closest atoms and distances in Å follow each position.
Space group P4/mmm (No. 123)
Symmetry-distinct sites (fractional):
Mg: 0.0000 0.0000 0.0000 (multiplicity 1)  8 I 3.25, 4 N 3.58
I: 0.0000 0.5000 0.5000 (multiplicity 2)  2 O 2.53
N: 0.5000 0.5000 0.0000 (multiplicity 1)  2 O 2.03
O: 0.5000 0.5000 0.5000 (multiplicity 1)  2 N 2.03

[3]
SrCa3Rh: relaxed, PBE.

Output
**Magnetization**: 0.0 μB/cell
**VASP energy**: -3.204 eV per atom
**N(E_F)**: 10.26 states/eV/cell
**Energy relative to the elements**: -19 kJ/mol of atoms

a b c (Å): 22.1005 4.6343 7.2131
angles (deg): 90.00 107.95 90.00
Closest atoms and distances in Å follow each position.
Space group C2/m (No. 12)
Symmetry-distinct sites (fractional):
Sr: 0.0968 0.0000 0.4258 (multiplicity 4)  2 Rh 3.29
Ca: 0.0598 0.5000 0.8242 (multiplicity 4)  1 Rh 3.16
Ca: 0.1877 0.0000 0.9585 (multiplicity 4)  3 Rh 2.95-3.09
Ca: 0.2212 0.5000 0.3335 (multiplicity 4)  3 Rh 3.00-3.16, 3 Ca 3.30-3.33
Rh: 0.1857 0.5000 0.7031 (multiplicity 4)  7 Ca 2.95-3.16, 2 Sr 3.29

[4]
HfScTc2: relaxed, PBE.

Output
**Magnetization**: 0.0 μB/cell
**VASP energy**: -9.323 eV per atom
**N(E_F)**: 10.95 states/eV/cell
**Energy relative to the elements**: -7 kJ/mol of atoms

a b c (Å): 3.1737 15.1313 6.3350
angles (deg): 90.00 90.00 90.00
Closest atoms and distances in Å follow each position.
Space group Cmcm (No. 63)
Symmetry-distinct sites (fractional):
Hf: 0.0000 0.0324 0.2500 (multiplicity 4)  8 Tc 2.81-2.89
Sc: 0.0000 0.2544 0.7500 (multiplicity 4)  6 Tc 2.89-2.96, 2 Sc 3.17
Tc: 0.0000 0.3917 0.0681 (multiplicity 8)  1 Tc 2.31

[5]
Hf2InHAu: relaxed, PBE.

Output
**Magnetization**: 0.0 μB/cell
**VASP energy**: -6.095 eV per atom
**N(E_F)**: 2.15 states/eV/cell

a b c (Å): 4.3315 4.3315 4.4324
angles (deg): 90.00 90.00 90.00
Closest atoms and distances in Å follow each position.
Space group P4/mmm (No. 123)
Symmetry-distinct sites (fractional):
Hf: 0.0000 0.5000 0.0000 (multiplicity 2)  2 H 2.17
In: 0.0000 0.0000 0.5000 (multiplicity 1)  4 Au 3.06, 8 Hf 3.10
H: 0.5000 0.5000 0.0000 (multiplicity 1)  4 Hf 2.17, 2 Au 2.22
Au: 0.5000 0.5000 0.5000 (multiplicity 1)  2 H 2.22

[6]
Tb3Ga2Os: relaxed, PBE.

Output
**Magnetization**: 0.0 μB/cell
**VASP energy**: -5.661 eV per atom
**N(E_F)**: 20.62 states/eV/cell
**Energy relative to the elements**: -45 kJ/mol of atoms

a b c (Å): 12.0106 4.2985 11.0907
angles (deg): 90.00 90.00 90.00
Closest atoms and distances in Å follow each position.
Space group Pnma (No. 62)
Symmetry-distinct sites (fractional):
Tb: 0.0522 0.2500 0.1182 (multiplicity 4)  1 Os 2.90, 5 Ga 3.01-3.24
Tb: 0.1181 0.7500 0.5546 (multiplicity 4)  3 Os 2.97, 5 Ga 3.08-3.17
Tb: 0.2335 0.2500 0.7925 (multiplicity 4)  2 Os 2.92, 4 Ga 3.09-3.13
Ga: 0.0091 0.7500 0.3023 (multiplicity 4)  2 Os 2.63
Ga: 0.1965 0.7500 0.9938 (multiplicity 4)  1 Os 2.62
Os: 0.1186 0.2500 0.3692 (multiplicity 4)  3 Ga 2.62-2.63, 3 Tb 2.90-2.92